VASP calculation (PBE) on As2OsPt after structural relaxation. Values from VASP.

Cell and atoms, written as Quantum ESPRESSO input:
```
&SYSTEM
  ibrav = 0, nat = 4, ntyp = 3
/
ATOMIC_SPECIES
Pt 195.08 Pt.upf
Os 190.23 Os.upf
As 74.92 As.upf
CELL_PARAMETERS angstrom
4.525 0.000 0.000
2.263 3.919 0.000
2.263 1.306 3.695
ATOMIC_POSITIONS crystal
Pt 0.750 0.750 0.750
Os 0.500 0.500 0.500
As 0.250 0.250 0.250
As 0.000 0.000 0.000
```

ΔE_f ... 0.65 eV/atom
Size of the total moment ... 0.00 μB/f.u.
Energy relative to the lowest polymorph listed for this composition ... 53.06 kJ/mol of atoms
Crystal system ... cubic
Space-group type ... F-43m (216)
N(E_F) ... 1.270 states/eV/atom
Total DFT energy (no corrections) ... -5.9957 eV per atom

=====

VASP calculation (PBE) on CaTm2Ag4 after structural relaxation. Values from VASP.

Cell and atoms, written as Quantum ESPRESSO input:
```
&SYSTEM
  ibrav = 0, nat = 7, ntyp = 3
/
ATOMIC_SPECIES
Tm 168.93 Tm.upf
Ag 107.87 Ag.upf
Ca 40.08 Ca.upf
CELL_PARAMETERS angstrom
-4.706 0.775 3.935
1.192 -6.067 -0.059
4.530 3.697 2.011
ATOMIC_POSITIONS crystal
Tm 0.500 0.500 0.000
Tm 0.500 0.000 0.500
Ag 0.000 0.500 0.000
Ag 0.000 0.000 0.500
Ag 0.500 0.500 0.500
Ag 0.500 0.000 0.000
Ca 0.000 0.000 0.000
```

ΔE_f ... -0.09 eV/atom
Size of the total moment ... 0.00 μB/f.u.
Crystal system ... tetragonal
Space-group type ... I4/mmm (139)
N(E_F) ... 0.768 states/eV/atom
Total DFT energy (no corrections) ... -3.2830 eV per atom

=====

VASP calculation (PBE) on CeMgNiRu after structural relaxation. Values from VASP.

Cell and atoms, written as Quantum ESPRESSO input:
```
&SYSTEM
  ibrav = 0, nat = 4, ntyp = 4
/
ATOMIC_SPECIES
Ni 58.69 Ni.upf
Ce 140.12 Ce.upf
Ru 101.07 Ru.upf
Mg 24.30 Mg.upf
CELL_PARAMETERS angstrom
-2.046 -0.606 2.824
3.424 -0.108 2.458
-0.371 4.603 0.719
ATOMIC_POSITIONS crystal
Ni 0.000 0.500 0.500
Ce 0.500 0.500 0.000
Ru 0.000 0.000 0.000
Mg 0.500 0.000 0.500
```

ΔE_f ... -0.26 eV/atom
Size of the total moment ... 0.00 μB/f.u.
Crystal system ... orthorhombic
Space-group type ... Pmmm (47)
N(E_F) ... 0.501 states/eV/atom
Total DFT energy (no corrections) ... -5.9064 eV per atom

=====

VASP calculation (PBE) on Ga5Ir4Rh after structural relaxation. Values from VASP.

Cell and atoms, written as Quantum ESPRESSO input:
```
&SYSTEM
  ibrav = 0, nat = 10, ntyp = 3
/
ATOMIC_SPECIES
Ga 69.72 Ga.upf
Ir 192.22 Ir.upf
Rh 102.91 Rh.upf
CELL_PARAMETERS angstrom
-0.142 -2.853 -0.917
2.783 0.214 -1.099
5.865 -4.765 13.921
ATOMIC_POSITIONS crystal
Ga 0.500 0.500 0.500
Ga 0.500 0.500 0.902
Ga 0.500 0.500 0.701
Ga 0.500 0.500 0.098
Ga 0.500 0.500 0.299
Ir 0.000 0.000 0.198
Ir 0.000 0.000 0.399
Ir 0.000 0.000 0.601
Ir 0.000 0.000 0.802
Rh 0.000 0.000 0.000
```

ΔE_f ... -0.45 eV/atom
Size of the total moment ... 0.00 μB/f.u.
Crystal system ... tetragonal
Space-group type ... P4/mmm (123)
N(E_F) ... 0.400 states/eV/atom
Total DFT energy (no corrections) ... -6.2444 eV per atom